ErMg3Cd (GGA-PBE, optimized geometry); energy relative to the lowest polymorph listed for this composition = 0.249 eV per atom; formation energy = 13.64 kJ per mole of atoms
1.0
0.3056 5.0812 0.5326
-1.8707 0.2705 -4.7564
-4.6276 -0.2894 2.1674
Cd Mg Er
1 3 1
Direct
0.1311 0.1311 0.1311
0.2787 0.2787 0.6753
0.6753 0.2787 0.2787
0.2787 0.6753 0.2787
0.7611 0.7611 0.7611

---

BaSrLa2I (GGA-PBE, optimized geometry); E_tot = -12.09 eV per cell
1.0
-0.5781 -1.0856 5.9638
6.7392 -1.1357 0.4465
0.9182 5.9061 1.1641
I Ba La Sr
1 1 2 1
Direct
0.5000 0.5000 0.5000
0.0000 0.5000 0.0000
0.0000 0.0000 0.5000
0.5000 0.0000 0.0000
0.0000 0.0000 0.0000

---

Sc2CuCl (GGA-PBE, optimized geometry); energy relative to the lowest polymorph listed for this composition = 0.152 eV per atom
1.0
-2.7327 -0.5886 -4.6300
0.0469 -2.1726 -4.9526
-1.9144 -3.6849 1.5989
Cl Cu Sc
1 1 2
Direct
0.4905 0.4905 0.6252
0.2614 0.2614 0.1248
0.7442 0.7442 0.6248
0.0038 0.0038 0.1252

---

What did the first record say?
ErMg3Cd (GGA-PBE, optimized geometry); energy relative to the lowest polymorph listed for this composition = 0.249 eV per atom; formation energy = 13.64 kJ per mole of atoms
1.0
0.3056 5.0812 0.5326
-1.8707 0.2705 -4.7564
-4.6276 -0.2894 2.1674
Cd Mg Er
1 3 1
Direct
0.1311 0.1311 0.1311
0.2787 0.2787 0.6753
0.6753 0.2787 0.2787
0.2787 0.6753 0.2787
0.7611 0.7611 0.7611